No. 1
Here is a geometry-optimized ZnCdTeO structure from OQMD via LeMat-Bulk. Energies are from PBE.

a b c (Å): 3.643 3.643 13.651
angles (deg): 90.00 90.00 120.00
Fractional coordinates of all 8 atoms:
Zn  0.333  0.667  0.000
Zn  0.667  0.333  0.500
Cd  0.000  0.000  0.198
Cd  0.000  0.000  0.698
Te  0.333  0.667  0.341
Te  0.667  0.333  0.841
O  0.000  0.000  0.039
O  0.000  0.000  0.539

Results
symmetry = P6_3mc (186)
excess energy over the best structure of this formula in the dataset = 357.5 meV per atom


No. 2
Here is a geometry-optimized Sc4Cu3Mo2C3 structure from OQMD via LeMat-Bulk. Energies are from PBE.

a b c (Å): 5.491 5.491 13.706
angles (deg): 101.19 101.19 60.25
Fractional coordinates of all 24 atoms:
Sc  0.026  0.878  0.608
Sc  0.122  0.974  0.892
Sc  0.184  0.362  0.091
Sc  0.362  0.184  0.591
Sc  0.638  0.816  0.409
Sc  0.816  0.638  0.909
Sc  0.878  0.026  0.108
Sc  0.974  0.122  0.392
Cu  0.084  0.416  0.749
Cu  0.416  0.084  0.249
Cu  0.429  0.571  0.250
Cu  0.571  0.429  0.750
Cu  0.584  0.916  0.751
Cu  0.916  0.584  0.251
Mo  0.296  0.475  0.423
Mo  0.475  0.296  0.923
Mo  0.525  0.704  0.077
Mo  0.704  0.525  0.577
C  0.000  0.500  0.500
C  0.184  0.667  0.001
C  0.333  0.816  0.499
C  0.500  0.000  0.000
C  0.667  0.184  0.501
C  0.816  0.333  0.999

Results
symmetry = C2/c (15)


No. 3
Here is a geometry-optimized PuReOs structure from OQMD via LeMat-Bulk. Energies are from PBE.

a b c (Å): 4.340 4.340 4.340
angles (deg): 60.00 60.00 60.00
Fractional coordinates of all 3 atoms:
Pu  0.000  0.000  0.000
Re  0.250  0.250  0.250
Os  0.750  0.750  0.750

Results
energy of formation from the pure elements = 1.18 eV/atom
symmetry = F-43m (216)
excess energy over the best structure of this formula in the dataset = 222.2 meV per atom


Record-wise calculated total energy values, in eV per cell: -23.962; -178.569; -34.228